No. 1
Here is an optimized crystal structure of SrYTe from Alexandria via LeMat-Bulk. Energies are from PBE.

VASP energy: -54.748 eV for the cell shown
Calculated volume: 37.93 Å³/atom
Uncorrected formation energy: -0.7998 eV per atom

Unit cell a=4.2475 b=4.2475 c=29.1337 alpha=90.00 beta=90.00 gamma=120.00
With the nearest neighbours (Å) after each atom.
Space group P-3m1 (No. 164)
One atom of each set of equivalent atoms:
Sr 0.3333 0.6667 0.2896 (multiplicity 2)  3 Te 3.30
Sr 0.3333 0.6667 0.4385 (multiplicity 2)  3 Te 3.25
Y 0.3333 0.6667 0.8199 (multiplicity 2)  3 Te 3.10
Y 0.3333 0.6667 0.9537 (multiplicity 2)  3 Te 3.16
Te 0.3333 0.6667 0.1149 (multiplicity 2)  6 Y 3.10-3.16
Te 0.3333 0.6667 0.6348 (multiplicity 2)  6 Sr 3.25-3.30

No. 2
Here is an optimized crystal structure of NaAgSe from Alexandria via LeMat-Bulk. Energies are from PBE.

VASP energy: -37.437 eV for the cell shown
Calculated volume: 26.65 Å³/atom
Uncorrected formation energy: -0.5681 eV per atom

Unit cell a=5.8607 b=8.9117 c=6.1230 alpha=90.00 beta=90.00 gamma=90.00
With the nearest neighbours (Å) after each atom.
Space group Cmcm (No. 63)
One atom of each set of equivalent atoms:
Na 0.0000 0.1802 0.2500 (multiplicity 4)  4 Se 2.96-3.18, 2 Ag 3.24
Ag 0.0000 0.5000 0.0000 (multiplicity 4)  2 Se 2.51
Se 0.0000 0.2761 0.7500 (multiplicity 4)  2 Ag 2.51

No. 3
Here is an optimized crystal structure of Pm8Dy2Sc3 from Alexandria via LeMat-Bulk. Energies are from PBE.

Formation energy: 0.242 eV/atom
VASP energy: -126.115 eV for the cell shown
Calculated volume: 33.37 Å³/atom

Unit cell a=14.9032 b=8.8867 c=6.6433 alpha=90.00 beta=99.58 gamma=90.00
With the nearest neighbours (Å) after each atom.
Space group C2/m (No. 12)
One atom of each set of equivalent atoms:
Pm 0.0906 0.0000 0.3984 (multiplicity 4)  4 Pm 3.21-3.55, 2 Sc 3.41
Pm 0.1109 0.1827 0.9327 (multiplicity 8)  3 Pm 3.25-3.57, 2 Dy 3.28-3.52, 2 Sc 3.34-3.37
Pm 0.1896 0.5000 0.3160 (multiplicity 4)  2 Dy 3.19-3.45, 3 Sc 3.23-3.56, 1 Pm 3.50
Dy 0.1963 0.5000 0.7991 (multiplicity 4)  6 Pm 3.19-3.52, 3 Sc 3.41-3.55
Sc 0.0000 0.3384 0.5000 (multiplicity 4)  1 Sc 2.87
Sc 0.0000 0.5000 0.0000 (multiplicity 2)  6 Pm 3.23-3.34, 2 Dy 3.41

No. 4
Here is an optimized crystal structure of Cd2SiCl from Alexandria via LeMat-Bulk. Energies are from PBE.

VASP energy: -28.232 eV for the cell shown
Calculated volume: 23.38 Å³/atom
Uncorrected formation energy: -0.0777 eV per atom

Unit cell a=3.8820 b=3.8820 c=21.4965 alpha=90.00 beta=90.00 gamma=120.00
With the nearest neighbours (Å) after each atom.
Space group R-3m (No. 166, hexagonal axes)
One atom of each set of equivalent atoms:
Cd 0.0000 0.0000 0.2396 (multiplicity 6)  3 Si 2.74, 3 Cl 3.01
Si 0.0000 0.0000 0.5000 (multiplicity 3)  6 Cd 2.74
Cl 0.0000 0.0000 0.0000 (multiplicity 3)  6 Cd 3.01